## BaYZnIn2 (GGA-PBEsol)

Data for a geometry-optimized BaYZnIn2 structure.

Values from the calculation:
DOS(E_F)   6.974 states/eV/cell
ρ   4.19 g/cm3
DFT total energy   -0.09598 Ha/atom

```
5
Lattice="-0.845 1.677 -5.389 -4.207 -3.820 -0.529 -4.180 4.326 2.002" Properties=species:S:1:pos:R:3 pbc="T T T"
Ba -2.090 2.163 1.001
In -0.423 0.838 -2.694
In -2.103 -1.910 -0.264
Zn -4.616 1.092 -1.958
Y 0.000 0.000 0.000
```

## BaZnIn (GGA-PBEsol)

Data for a geometry-optimized BaZnIn structure.

Values from the calculation:
DOS(E_F)   1.992 states/eV/cell
ρ   5.94 g/cm3
DFT total energy   -0.09317 Ha/atom

```
3
Lattice="4.211 0.000 0.000 0.000 4.934 0.000 0.000 -2.467 4.273" Properties=species:S:1:pos:R:3 pbc="T T T"
In 2.106 0.000 2.848
Zn 2.106 2.467 1.424
Ba 0.000 0.000 0.000
```

## Ba2ZnIn (GGA-PBEsol)

Data for a geometry-optimized Ba2ZnIn structure.

Values from the calculation:
DOS(E_F)   3.062 states/eV/cell
ρ   5.76 g/cm3
DFT total energy   -0.09123 Ha/atom

```
4
Lattice="4.043 0.000 0.000 0.000 5.722 -0.024 -2.022 -2.839 5.683" Properties=species:S:1:pos:R:3 pbc="T T T"
Ba 0.000 2.871 2.544
Ba 0.000 0.001 0.439
In 0.000 0.019 5.097
Zn 2.022 0.014 3.249
```

## Ba2Zn2In (GGA-PBEsol)

Data for a geometry-optimized Ba2Zn2In structure.

Values from the calculation:
DOS(E_F)   8.493 states/eV/cell
ρ   5.71 g/cm3
DFT total energy   -0.08367 Ha/atom

```
10
Lattice="4.774 0.000 0.000 0.000 7.962 0.000 0.000 0.000 7.962" Properties=species:S:1:pos:R:3 pbc="T T T"
Ba 2.387 6.461 2.480
Ba 2.387 2.480 1.501
Ba 2.387 5.482 6.461
Ba 2.387 1.501 5.482
In 0.000 0.000 0.000
In 0.000 3.981 3.981
Zn 0.000 4.873 0.892
Zn 0.000 0.892 3.089
Zn 0.000 3.089 7.070
Zn 0.000 7.070 4.873
```

## BaZn2In (GGA-PBEsol)

Data for a geometry-optimized BaZn2In structure.

Values from the calculation:
DOS(E_F)   1.964 states/eV/cell
ρ   6.41 g/cm3
DFT total energy   -0.07707 Ha/atom

```
4
Lattice="5.197 0.000 0.000 2.598 4.500 0.000 2.598 1.500 4.243" Properties=species:S:1:pos:R:3 pbc="T T T"
Zn 0.000 0.000 0.000
Zn 7.795 4.500 3.182
Ba 5.197 3.000 2.122
In 2.598 1.500 1.061
```

## Ba2ZnIn (GGA-PBEsol)

Data for a geometry-optimized Ba2ZnIn structure.

Values from the calculation:
DOS(E_F)   2.673 states/eV/cell
ρ   5.44 g/cm3
DFT total energy   -0.09090 Ha/atom

```
4
Lattice="-1.213 2.667 -2.798 3.052 -2.887 -4.075 -4.676 -3.328 -1.145" Properties=species:S:1:pos:R:3 pbc="T T T"
In -1.419 -1.774 -4.009
Ba 1.526 -1.443 -2.038
Ba -2.338 -1.664 -0.572
Zn -0.606 1.334 -1.399
```